Here is crystalline Ni2BiSe3 at its relaxed geometry from Alexandria via LeMat-Bulk. Energies are from PBE.

The value obtained for the total magnetization is 0.0 μB/f.u. The raw formation energy comes out at -0.227 eV per atom. Its density of states at the Fermi level is 18.9 states/eV/cell.

It has space group R-3m (No. 166, hexagonal axes), with a = 7.0491 Å, b = 7.0491 Å, c = 17.2222 Å, α = 90.00°, β = 90.00° and γ = 120.00°. The inequivalent atoms are Ni at (0.0000, 0.0000, 0.0000), Ni at (0.0000, 0.5000, 0.0000), Bi at (0.0000, 0.0000, 0.2248) and Se at (0.0019, 0.5009, 0.2610).


Here is crystalline Pu3MnHg at its relaxed geometry from Alexandria via LeMat-Bulk. Energies are from PBE.

The value obtained for the formation energy is 0.139 eV/atom. The value obtained for the total magnetization is 15.9 μB/f.u. Its density of states at the Fermi level is 22.4 states/eV/cell.

It has space group Pm-3m (No. 221), with a = 5.0037 Å, b = 5.0037 Å, c = 5.0037 Å, α = 90.00°, β = 90.00° and γ = 90.00°. The inequivalent atoms are Pu at (0.0000, 0.0000, 0.5000), Mn at (0.0000, 0.0000, 0.0000) and Hg at (0.5000, 0.5000, 0.5000).


Here is crystalline RbMg at its relaxed geometry from Alexandria via LeMat-Bulk. Energies are from PBE.

The value obtained for the formation energy is 0.191 eV/atom. The value obtained for the total magnetization is 0.0 μB/f.u. Its density of states at the Fermi level is 5.1 states/eV/cell.

It has space group Cmcm (No. 63), with a = 4.0841 Å, b = 22.2293 Å, c = 4.4180 Å, α = 90.00°, β = 90.00° and γ = 90.00°. The inequivalent atoms are Rb at (0.0000, 0.1005, 0.2500) and Mg at (0.0000, 0.2734, 0.2500).


Here is crystalline Rb2PuAs2S6 at its relaxed geometry from Alexandria via LeMat-Bulk. Energies are from PBE.

The value obtained for the total magnetization is 4.0 μB/f.u. The raw formation energy comes out at -0.776 eV per atom. Its density of states at the Fermi level is 13.3 states/eV/cell.

It has space group C2/m (No. 12), with a = 11.3964 Å, b = 7.2048 Å, c = 8.5323 Å, α = 90.00°, β = 112.30° and γ = 90.00°. The inequivalent atoms are Rb at (0.1944, 0.0000, 0.1411), Pu at (0.0000, 0.0000, 0.5000), As at (0.0774, 0.5000, 0.2137), S at (0.0364, 0.2508, 0.7563) and S at (0.2437, 0.0000, 0.5507).